Record 1
Material: ZnPd2
Method: DFT, PBE-GGA
State: relaxed

Results
The space group is P2/m (10). The crystal system is monoclinic. Its calculated formation energy is -128 kJ/mol of formula units. Its density is 10.4 g/cm3.

a = 4.6039 Å, b = 2.8903 Å, c = 6.7545 Å
α = 90.00°, β = 98.58°, γ = 90.00°
Element x y z (fractional)
Pd 0.5880 0.5000 0.1958
Pd 0.0882 0.0000 0.1959
Pd 0.8045 0.0000 0.5493
Pd 0.3711 0.0000 0.8421
Zn 0.2965 0.5000 0.5143
Zn 0.8789 0.5000 0.8770

Record 2
Material: Zn2Pd
Method: DFT, PBE-GGA
State: relaxed

Results
The space group is Fd-3m (227). The crystal system is cubic. Its calculated formation energy is -85 kJ/mol of formula units. Its density is 9.2 g/cm3.

a = 4.9565 Å, b = 4.9565 Å, c = 4.9565 Å
α = 60.00°, β = 60.00°, γ = 60.00°
Element x y z (fractional)
Pd 0.0000 0.0000 0.0000
Pd 0.2500 0.2500 0.2500
Zn 0.6250 0.6250 0.1250
Zn 0.6250 0.1250 0.6250
Zn 0.1250 0.6250 0.6250
Zn 0.6250 0.6250 0.6250